An optimized crystal structure of NaCuRu2O8, computed with GGA-PBE.

abc: 6.9052 6.9052 7.0637
angles: 90.00 90.00 90.00
Last column: nearest neighbours and their distance in Å.
Space group I-4m2 (No. 119)
Symmetry-distinct sites (fractional):
Na  0.0000  0.0000  0.0000 (multiplicity 2)  4 O 2.19
Cu  0.0000  0.5000  0.7500 (multiplicity 2)  4 O 2.12
Ru  0.0000  0.0000  0.5000 (multiplicity 2)  4 O 1.79
Ru  0.0000  0.5000  0.2500 (multiplicity 2)  4 O 1.74
O  0.0000  0.2103  0.6484 (multiplicity 8)  1 Ru 1.79
O  0.0000  0.3000  0.1012 (multiplicity 8)  1 Ru 1.74

Properties
Final energy (eV for the cell shown): -145.3
Uncorrected formation energy (meV/atom): -751.8
Total moment (μB/cell): 4.0